Record 1
First-principles (PBE-GGA) data for a relaxed structure of Cd2AgPd4, as listed in Alexandria via LeMat-Bulk.

Calculated values
total magnetic moment: 0.000 μB per formula unit
ΔE_f: -12 kJ/mol of atoms
VASP energy: -0.138 hartree per atom
E above lowest polymorph: 0 meV/atom

POSCAR file:
```
Cd2AgPd4
1.0
-2.825 2.825 4.047
2.825 -2.825 4.047
2.825 2.825 -4.047
Cd Ag Pd
2 1 4
Cartesian
2.825 0.000 0.000
0.000 2.825 0.000
0.000 0.000 0.000
1.412 1.412 -2.023
1.412 -1.412 2.023
-1.412 1.412 2.023
1.412 1.412 2.023
```

Record 2
First-principles (PBE-GGA) data for a relaxed structure of CaFeCoP2, as listed in Alexandria via LeMat-Bulk.

Calculated values
total magnetic moment: 0.000 μB per formula unit
ΔE_f: -82 kJ/mol of atoms
VASP energy: -0.240 hartree per atom

POSCAR file:
```
CaFeCoP2
1.0
-1.896 1.896 4.961
1.896 -1.896 4.961
1.896 1.896 -4.961
Ca Fe Co P
1 1 1 2
Cartesian
0.000 0.000 0.000
0.000 1.896 2.481
1.896 0.000 2.481
0.000 0.000 3.631
0.000 0.000 6.292
```

Record 3
First-principles (PBE-GGA) data for a relaxed structure of FeSb2Pb, as listed in Alexandria via LeMat-Bulk.

Calculated values
total magnetic moment: 1.530 μB per formula unit
raw formation energy: 0.62 eV/f.u.
VASP energy: -0.182 hartree per atom

POSCAR file:
```
FeSb2Pb
1.0
4.532 -1.698 0.000
4.532 1.698 0.000
-2.167 0.000 6.477
Fe Sb Pb
1 2 1
Cartesian
0.000 0.000 0.000
4.346 0.000 1.978
4.324 0.000 6.249
1.920 0.000 4.038
```